A plane-wave DFT calculation with PBE was carried out for an optimized crystal structure of HoTm3Th3.

Total magnetization: 0.001 μB per formula unit
Fermi-level density of states: 1.39 states/eV per atom
Electronic total energy: -228.1 eV/cell
Energy relative to the elements: 0.32 eV per atom

Unit cell a=8.7378 b=8.7378 c=21.3126 alpha=90.00 beta=90.00 gamma=120.00
Space group R-3 (No. 148, hexagonal axes)
Unique sites:
Ho 0.0000 0.0000 0.1455 x6
Tm 0.0508 0.2736 0.7134 x18
Th 0.0089 0.2497 0.5540 x18

***

A plane-wave DFT calculation with PBE was carried out for an optimized crystal structure of Ho4Tm4Th.

Total magnetization: 0.000 μB per formula unit
Fermi-level density of states: 1.56 states/eV per atom
Electronic total energy: -86.7 eV/cell
Energy relative to the elements: 0.03 eV per atom

Unit cell a=10.5562 b=10.5562 c=4.9748 alpha=90.00 beta=90.00 gamma=90.00
Space group I4/mmm (No. 139)
Unique sites:
Ho 0.0000 0.3316 0.0000 x8
Tm 0.1650 0.1650 0.5000 x8
Th 0.0000 0.0000 0.0000 x2